# Pb2WSeO

An optimized crystal structure of Pb2WSeO (PBE+U, the Alexandria database).

Calculated values
energy: -3.55 eV per atom

a = 5.787 Å, b = 5.787 Å, c = 4.994 Å
α = 90.00°, β = 90.00°, γ = 90.00°
Space group P4/mmm (No. 123)
One atom of each set of equivalent atoms:
Pb 0.000 0.500 0.000 [2 per cell]
W 0.000 0.000 0.500 [1 per cell]
Se 0.000 0.000 0.000 [1 per cell]
O 0.500 0.500 0.500 [1 per cell]